DFT (PBE) results for a relaxed Nb4GaNi3 crystal.

Geometry as POSCAR:
```
Nb4GaNi3
1.0
12.096 0.000 0.000
0.000 7.842 0.000
-0.582 0.000 2.612
Nb Ga Ni
8 2 6
Direct
0.138 0.205 0.136 Nb
0.138 0.795 0.136 Nb
0.362 0.295 0.864 Nb
0.362 0.705 0.864 Nb
0.638 0.295 0.136 Nb
0.638 0.705 0.136 Nb
0.862 0.205 0.864 Nb
0.862 0.795 0.864 Nb
0.000 0.500 0.000 Ga
0.500 0.000 0.000 Ga
0.000 0.000 0.500 Ni
0.185 0.500 0.683 Ni
0.315 0.000 0.317 Ni
0.500 0.500 0.500 Ni
0.685 0.000 0.683 Ni
0.815 0.500 0.317 Ni
```

Results
* size of the total moment: 0.02 Bohr magnetons per cell
* raw total energy: -7.48 eV/atom